LiMoIr2: relaxed, GGA-PBE.

Lattice parameters (Å, degrees): 2.8077 3.5590 5.6202 90.00 90.00 90.00
Closest atoms and distances in Å follow each position.
Space group Pmmm (No. 47)
One atom of each set of equivalent atoms:
Li 0.0000 0.0000 0.0000 x1  8 Ir 2.63, 2 Li 2.81, 2 Mo 2.81
Mo 0.0000 0.0000 0.5000 x1  8 Ir 2.70, 2 Mo 2.81, 2 Li 2.81
Ir 0.5000 0.5000 0.2382 x2  4 Li 2.63, 4 Ir 2.68-2.94, 4 Mo 2.70

Calculated values
uncorrected energy = -31.2 eV/cell
ΔE_f = -0.191 eV per atom
relative energy among the computed polymorphs = 13 meV/atom


LiMoIr2: relaxed, GGA-PBE.

Lattice parameters (Å, degrees): 3.7262 3.7262 8.1235 90.00 90.00 90.00
Closest atoms and distances in Å follow each position.
Space group I-4m2 (No. 119)
One atom of each set of equivalent atoms:
Li 0.0000 0.0000 0.0000 x2  8 Ir 2.63-2.76, 4 Mo 2.76
Mo 0.0000 0.5000 0.2500 x2  8 Ir 2.63-2.76, 4 Li 2.76
Ir 0.0000 0.0000 0.5000 x2  4 Li 2.63, 4 Mo 2.76, 4 Ir 2.76
Ir 0.0000 0.5000 0.7500 x2  4 Mo 2.63, 4 Li 2.76, 4 Ir 2.76

Calculated values
uncorrected energy = -61.4 eV/cell
ΔE_f = -0.064 eV per atom
relative energy among the computed polymorphs = 140 meV/atom


LiMo3Ir: relaxed, GGA-PBE.

Lattice parameters (Å, degrees): 4.1716 4.1716 4.1716 90.00 90.00 90.00
Closest atoms and distances in Å follow each position.
Space group Pm-3m (No. 221)
One atom of each set of equivalent atoms:
Li 0.0000 0.0000 0.0000 x1  6 Mo 2.09
Mo 0.0000 0.0000 0.5000 x3  2 Li 2.09
Ir 0.5000 0.5000 0.5000 x1  12 Mo 2.95

Calculated values
uncorrected energy = -37.8 eV/cell
ΔE_f = 1.084 eV per atom
relative energy among the computed polymorphs = 0 meV/atom


Q: uncorrected energy of number 1 (LiMoIr2)?
A: -31.2 eV/cell


Please write out number 3 again, unchanged.
LiMo3Ir: relaxed, GGA-PBE.

Lattice parameters (Å, degrees): 4.1716 4.1716 4.1716 90.00 90.00 90.00
Closest atoms and distances in Å follow each position.
Space group Pm-3m (No. 221)
One atom of each set of equivalent atoms:
Li 0.0000 0.0000 0.0000 x1  6 Mo 2.09
Mo 0.0000 0.0000 0.5000 x3  2 Li 2.09
Ir 0.5000 0.5000 0.5000 x1  12 Mo 2.95

Calculated values
uncorrected energy = -37.8 eV/cell
ΔE_f = 1.084 eV per atom
relative energy among the computed polymorphs = 0 meV/atom


Q: The lowest ΔE_f belongs to which entry?
A: number 1


Q: Which formula does entry 3 have?
A: LiMo3Ir